1.
Material: CaDy2ThSb4
Method: DFT, PBE
State: optimized geometry

Results
Space-group type   No. 139
ΔE_f (raw)   -1046 meV per atom

Cell: 7.7272 7.7272 7.7272 Å, 131.89 131.89 70.41°
Fractional coordinates of all 8 atoms:
Ca1 0.0000 0.0000 0.0000
Dy1 0.2500 0.7500 0.5000
Dy2 0.7500 0.2500 0.5000
Th1 0.5000 0.5000 0.0000
Sb1 0.0000 0.5000 0.5000
Sb2 0.2511 0.2511 0.0000
Sb3 0.5000 0.0000 0.5000
Sb4 0.7489 0.7489 0.0000

=====

2.
Material: CaDyTh2Sb4
Method: DFT, PBE
State: optimized geometry

Results
Space-group type   No. 10
ΔE_f (raw)   -1012 meV per atom

Cell: 7.7124 4.4935 7.7950 Å, 90.00 109.58 90.00°
Fractional coordinates of all 8 atoms:
Ca1 0.0000 0.0000 0.0000
Dy1 0.0000 0.5000 0.5000
Th1 0.5000 0.0000 0.5000
Th2 0.5000 0.5000 0.0000
Sb1 0.2443 0.0000 0.7458
Sb2 0.2480 0.5000 0.2520
Sb3 0.7520 0.5000 0.7480
Sb4 0.7557 0.0000 0.2542

=====

3.
Material: CaDy2TmSb4
Method: DFT, PBE
State: optimized geometry

Results
Space-group type   No. 10
ΔE_f (raw)   -1018 meV per atom

Cell: 7.6431 4.3725 7.6623 Å, 90.00 109.08 90.00°
Fractional coordinates of all 8 atoms:
Ca1 0.0000 0.0000 0.0000
Dy1 0.5000 0.0000 0.5000
Dy2 0.5000 0.5000 0.0000
Tm1 0.0000 0.5000 0.5000
Sb1 0.2502 0.0000 0.7452
Sb2 0.2549 0.5000 0.2573
Sb3 0.7451 0.5000 0.7427
Sb4 0.7498 0.0000 0.2548

=====

4.
Material: Ca2DyUSb4
Method: DFT, PBE
State: optimized geometry

Results
Space-group type   No. 10
ΔE_f (raw)   -781 meV per atom

Cell: 7.6682 4.4716 7.7360 Å, 90.00 109.35 90.00°
Fractional coordinates of all 8 atoms:
Ca1 0.0000 0.0000 0.0000
Ca2 0.5000 0.5000 0.0000
Dy1 0.0000 0.5000 0.5000
U1 0.5000 0.0000 0.5000
Sb1 0.2518 0.0000 0.7348
Sb2 0.2604 0.5000 0.2670
Sb3 0.7396 0.5000 0.7330
Sb4 0.7482 0.0000 0.2652

=====

5.
Material: CaDy2YSb4
Method: DFT, PBE
State: optimized geometry

Results
Space-group type   No. 10
ΔE_f (raw)   -1044 meV per atom

Cell: 7.6770 4.3870 7.6782 Å, 90.00 109.09 90.00°
Fractional coordinates of all 8 atoms:
Ca1 0.0000 0.0000 0.0000
Dy1 0.5000 0.0000 0.5000
Dy2 0.5000 0.5000 0.0000
Y1 0.0000 0.5000 0.5000
Sb1 0.2531 0.0000 0.7478
Sb2 0.2567 0.5000 0.2562
Sb3 0.7433 0.5000 0.7438
Sb4 0.7469 0.0000 0.2522

=====

6.
Material: CaDy2Sc
Method: DFT, PBE
State: optimized geometry

Results
Space-group type   No. 123
Energy of formation   0.284 eV per formula unit
Relative energy among the computed polymorphs   0.0 meV per atom

Cell: 3.8393 3.8393 8.8123 Å, 90.00 90.00 90.00°
Fractional coordinates of all 4 atoms:
Ca1 0.0000 0.0000 0.0000
Dy1 0.5000 0.5000 0.2961
Dy2 0.5000 0.5000 0.7039
Sc1 0.0000 0.0000 0.5000

=====

7.
Material: Ca3Dy5Sc12
Method: DFT, PBE
State: optimized geometry

Results
Space-group type   No. 230
Energy of formation   22.446 eV per formula unit

Cell: 16.0036 16.0036 16.0036 Å, 109.47 109.47 109.47°
Fractional coordinates of all 80 atoms:
Ca1 0.1250 0.2500 0.3750
Ca2 0.1250 0.3750 0.7500
Ca3 0.2500 0.3750 0.1250
Ca4 0.2500 0.8750 0.6250
Ca5 0.3750 0.1250 0.2500
Ca6 0.3750 0.7500 0.1250
Ca7 0.6250 0.2500 0.8750
Ca8 0.6250 0.8750 0.7500
Ca9 0.7500 0.1250 0.3750
Ca10 0.7500 0.6250 0.8750
Ca11 0.8750 0.6250 0.2500
Ca12 0.8750 0.7500 0.6250
Dy1 0.0000 0.0000 0.0000
Dy2 0.0000 0.0000 0.5000
Dy3 0.0000 0.5000 0.0000
Dy4 0.0000 0.5000 0.5000
Dy5 0.1250 0.7500 0.8750
Dy6 0.1250 0.8750 0.2500
Dy7 0.2500 0.1250 0.8750
Dy8 0.2500 0.6250 0.3750
Dy9 0.3750 0.2500 0.6250
Dy10 0.3750 0.6250 0.7500
Dy11 0.5000 0.0000 0.0000
Dy12 0.5000 0.0000 0.5000
Dy13 0.5000 0.5000 0.0000
Dy14 0.5000 0.5000 0.5000
Dy15 0.6250 0.3750 0.2500
Dy16 0.6250 0.7500 0.3750
Dy17 0.7500 0.3750 0.6250
Dy18 0.7500 0.8750 0.1250
Dy19 0.8750 0.1250 0.7500
Dy20 0.8750 0.2500 0.1250
Sc1 0.0030 0.6778 0.0280
Sc2 0.0030 0.8252 0.9750
Sc3 0.0250 0.5280 0.8502
Sc4 0.0250 0.9970 0.1748
Sc5 0.0280 0.0030 0.6778
Sc6 0.0280 0.5250 0.3502
Sc7 0.1498 0.6748 0.6778
Sc8 0.1498 0.9750 0.4720
Sc9 0.1748 0.0250 0.9970
Sc10 0.1748 0.6498 0.1778
Sc11 0.1778 0.1748 0.6498
Sc12 0.1778 0.5030 0.5280
Sc13 0.3222 0.8502 0.3252
Sc14 0.3222 0.9720 0.9970
Sc15 0.3252 0.3222 0.8502
Sc16 0.3252 0.5030 0.4750
Sc17 0.3502 0.0280 0.5250
Sc18 0.3502 0.8222 0.8252
Sc19 0.4720 0.1498 0.9750
Sc20 0.4720 0.8222 0.4970
Sc21 0.4750 0.3252 0.5030
Sc22 0.4750 0.6498 0.9720
Sc23 0.4970 0.4720 0.8222
Sc24 0.4970 0.5250 0.6748
Sc25 0.5030 0.4750 0.3252
Sc26 0.5030 0.5280 0.1778
Sc27 0.5250 0.3502 0.0280
Sc28 0.5250 0.6748 0.4970
Sc29 0.5280 0.1778 0.5030
Sc30 0.5280 0.8502 0.0250
Sc31 0.6498 0.1778 0.1748
Sc32 0.6498 0.9720 0.4750
Sc33 0.6748 0.4970 0.5250
Sc34 0.6748 0.6778 0.1498
Sc35 0.6778 0.0280 0.0030
Sc36 0.6778 0.1498 0.6748
Sc37 0.8222 0.4970 0.4720
Sc38 0.8222 0.8252 0.3502
Sc39 0.8252 0.3502 0.8222
Sc40 0.8252 0.9750 0.0030
Sc41 0.8502 0.0250 0.5280
Sc42 0.8502 0.3252 0.3222
Sc43 0.9720 0.4750 0.6498
Sc44 0.9720 0.9970 0.3222
Sc45 0.9750 0.0030 0.8252
Sc46 0.9750 0.4720 0.1498
Sc47 0.9970 0.1748 0.0250
Sc48 0.9970 0.3222 0.9720

=====

8.
Material: CaDy2Sc
Method: DFT, PBE
State: optimized geometry

Results
Space-group type   No. 123
Energy of formation   0.706 eV per formula unit
Relative energy among the computed polymorphs   105.4 meV per atom

Cell: 5.0287 5.0287 4.9210 Å, 90.00 90.00 90.00°
Fractional coordinates of all 4 atoms:
Ca1 0.0000 0.0000 0.0000
Dy1 0.0000 0.5000 0.5000
Dy2 0.5000 0.0000 0.5000
Sc1 0.5000 0.5000 0.0000